# 1
Density functional theory data (GGA-PBE) for an optimized crystal structure of AgPAuCl2.

a b c (Å): 5.228 5.228 4.726
angles (deg): 90.00 90.00 90.00
Each line ends with the local moment (μB).
Fractional positions:
Cl 0.000 0.500 0.000  0.07
Cl 0.500 0.000 0.000  0.07
Ag 0.500 0.500 0.500  0.02
P 0.000 0.000 0.500  0.54
Au 0.000 0.000 0.000  0.08

Output
As for the energy above the lowest structure with this stoichiometry: 0.000 eV per atom. The energy relative to the elements, uncorrected is 460 meV per atom. The calculation puts the volume at 25.84 Å³ per atom. As for the total moment: 1.5 μB/f.u. The calculated density comes out at 5.23 Mg/m³.

---

# 2
Density functional theory data (GGA-PBE) for an optimized crystal structure of Na2AlGa.

a b c (Å): 5.096 5.096 5.096
angles (deg): 60.00 60.00 60.00
Fractional positions:
Na 0.250 0.250 0.250
Na 0.750 0.750 0.750
Ga 0.500 0.500 0.500
Al 0.000 0.000 0.000

Output
The calculation puts the volume at 23.40 Å³ per atom. As for the total moment: 0.0 μB/f.u. The calculated density comes out at 2.53 Mg/m³. The energy of formation from the pure elements comes out at 4.749 kcal/mol of atoms.

---

# 3
Density functional theory data (GGA-PBE) for an optimized crystal structure of TlSbIr2.

a b c (Å): 7.325 7.325 7.325
angles (deg): 155.97 149.70 39.04
Fractional positions:
Sb 0.543 0.543 0.000
Ir 0.958 0.958 0.000
Ir 0.699 0.199 0.500
Tl 0.300 0.800 0.500

Output
As for the energy above the lowest structure with this stoichiometry: 0.024 eV per atom. The energy relative to the elements, uncorrected is 340 meV per atom. The calculation puts the volume at 20.16 Å³ per atom. As for the total moment: 0.0 μB/f.u. The calculated density comes out at 14.63 Mg/m³.

---

# 4
Density functional theory data (GGA-PBE) for an optimized crystal structure of Li2AcCd3.

a b c (Å): 5.638 7.230 7.230
angles (deg): 98.84 90.00 90.00
Fractional positions:
Li 0.500 0.783 0.217
Li 0.500 0.217 0.783
Li 0.000 0.217 0.783
Li 0.000 0.783 0.217
Cd 0.250 0.947 0.947
Cd 0.750 0.463 0.098
Cd 0.250 0.902 0.537
Cd 0.750 0.053 0.053
Cd 0.250 0.537 0.902
Cd 0.750 0.098 0.463
Ac 0.250 0.329 0.329
Ac 0.750 0.671 0.671

Output
The calculation puts the volume at 24.27 Å³ per atom. As for the total moment: 0.0 μB/f.u. The calculated density comes out at 6.59 Mg/m³. The energy of formation from the pure elements comes out at -5.474 kcal/mol of atoms.